[1]
The following is a DFT calculation (PBE) of an optimized crystal structure of Co5Rh.

Output
As for the energy relative to the elements: 0.072 eV per atom.

```
Co5Rh
1.0
4.024 0.000 0.000
0.000 5.027 0.000
0.000 0.000 6.973
Co Rh
10 2
direct
0.000 0.000 0.000
0.000 0.254 0.334
0.000 0.254 0.666
0.000 0.746 0.334
0.000 0.746 0.666
0.500 0.246 0.166
0.500 0.246 0.834
0.500 0.500 0.500
0.500 0.754 0.166
0.500 0.754 0.834
0.000 0.500 0.000
0.500 0.000 0.500
```

---

[2]
The following is a DFT calculation (PBE) of an optimized crystal structure of NbAsCBr2.

Output
Its energy above the most stable polymorph in this dataset is 0.0 meV/atom. The formation energy without anion corrections is 1.33 eV per atom.

```
NbAsCBr2
1.0
5.118 0.000 0.000
0.000 5.118 0.000
0.000 0.000 5.118
Nb As C Br
1 1 1 2
direct
0.000 0.000 0.000
0.000 0.000 0.500
0.500 0.500 0.500
0.000 0.500 0.000
0.500 0.000 0.000
```

---

[3]
The following is a DFT calculation (PBE) of an optimized crystal structure of Pa3Ni5Ge2.

Output
As for the energy relative to the elements: -0.257 eV per atom.

```
Pa3Ni5Ge2
1.0
-5.414 5.822 2.796
5.414 -5.822 2.796
5.414 5.822 -2.796
Pa Ni Ge
6 10 4
direct
0.124 0.680 0.803
0.250 0.250 0.000
0.376 0.180 0.556
0.624 0.820 0.444
0.750 0.750 0.000
0.876 0.320 0.197
0.043 0.250 0.793
0.149 0.403 0.552
0.250 0.750 0.500
0.351 0.903 0.254
0.457 0.250 0.207
0.543 0.750 0.793
0.649 0.097 0.746
0.750 0.250 0.500
0.851 0.597 0.448
0.957 0.750 0.207
0.119 0.194 0.313
0.381 0.694 0.075
0.619 0.306 0.925
0.881 0.806 0.687
```

---

[4]
The following is a DFT calculation (PBE) of an optimized crystal structure of Ta2InTc.

Output
As for the energy relative to the elements: 0.085 eV per atom.

```
Ta2InTc
1.0
4.065 0.000 0.000
0.000 4.065 0.000
0.000 0.000 4.273
Ta In Tc
2 1 1
direct
0.000 0.500 0.000
0.500 0.000 0.000
0.000 0.000 0.500
0.500 0.500 0.500
```

---

[5]
The following is a DFT calculation (PBE) of an optimized crystal structure of Hf2Zr2Zn.

Output
Its energy above the most stable polymorph in this dataset is 73.7 meV/atom. As for the energy relative to the elements: 0.137 eV per atom.

```
Hf2Zr2Zn
1.0
7.283 0.000 0.000
0.000 7.283 0.000
0.000 0.000 4.161
Hf Zr Zn
4 4 2
direct
0.142 0.358 0.000
0.358 0.858 0.000
0.642 0.142 0.000
0.858 0.642 0.000
0.157 0.657 0.500
0.343 0.157 0.500
0.657 0.843 0.500
0.843 0.343 0.500
0.000 0.000 0.000
0.500 0.500 0.000
```

---

[6]
The following is a DFT calculation (PBE) of an optimized crystal structure of RbEr2Cu3Se5.

Output
The formation energy without anion corrections is -1.12 eV per atom.

```
RbEr2Cu3Se5
1.0
2.057 -7.275 0.000
2.057 7.275 0.000
0.000 0.000 17.071
Rb Er Cu Se
2 4 6 10
direct
0.061 0.939 0.750
0.939 0.061 0.250
0.192 0.808 0.092
0.192 0.808 0.408
0.808 0.192 0.592
0.808 0.192 0.908
0.340 0.660 0.750
0.416 0.584 0.029
0.416 0.584 0.471
0.584 0.416 0.529
0.584 0.416 0.971
0.660 0.340 0.250
0.167 0.833 0.571
0.167 0.833 0.929
0.246 0.754 0.250
0.439 0.561 0.616
0.439 0.561 0.884
0.561 0.439 0.116
0.561 0.439 0.384
0.754 0.246 0.750
0.833 0.167 0.071
0.833 0.167 0.429
```

---

[7]
The following is a DFT calculation (PBE) of an optimized crystal structure of Rb2GeBr2F4.

Output
The formation energy without anion corrections is -2.16 eV per atom.

```
Rb2GeBr2F4
1.0
-3.496 3.496 4.374
3.496 -3.496 4.374
3.496 3.496 -4.374
Rb Ge Br F
2 1 2 4
direct
0.250 0.750 0.500
0.750 0.250 0.500
0.000 0.000 0.000
0.284 0.284 0.000
0.716 0.716 0.000
0.187 0.187 0.373
0.187 0.813 0.000
0.813 0.187 0.000
0.813 0.813 0.627
```

---

[8]
The following is a DFT calculation (PBE) of an optimized crystal structure of Sr2TbIn.

Output
As for the energy relative to the elements: 0.230 eV per atom.

```
Sr2TbIn
1.0
3.823 0.000 0.000
-1.911 3.310 0.000
0.000 0.000 39.467
Sr Tb In
6 3 3
direct
0.000 0.000 0.087
0.000 0.000 0.913
0.333 0.667 0.579
0.333 0.667 0.754
0.667 0.333 0.246
0.667 0.333 0.421
0.000 0.000 0.500
0.333 0.667 0.167
0.667 0.333 0.833
0.000 0.000 0.000
0.333 0.667 0.667
0.667 0.333 0.333
```

---

[9]
The following is a DFT calculation (PBE) of an optimized crystal structure of TiOs2Pt2.

Output
Its energy above the most stable polymorph in this dataset is 0.0 meV/atom. As for the energy relative to the elements: 0.091 eV per atom.

```
TiOs2Pt2
1.0
3.592 0.000 0.000
0.000 3.592 0.000
0.000 0.000 13.023
Ti Os Pt
2 4 4
direct
0.000 0.000 0.000
0.500 0.500 0.500
0.000 0.500 0.250
0.000 0.500 0.750
0.500 0.000 0.250
0.500 0.000 0.750
0.000 0.000 0.403
0.000 0.000 0.597
0.500 0.500 0.097
0.500 0.500 0.903
```

---

[10]
The following is a DFT calculation (PBE) of an optimized crystal structure of LiBiIr.

Output
As for the energy relative to the elements: -0.028 eV per atom.

```
LiBiIr
1.0
6.309 0.000 0.000
0.000 6.309 0.000
0.000 0.000 6.309
Li Bi Ir
4 4 4
direct
0.000 0.000 0.000
0.000 0.500 0.500
0.500 0.000 0.500
0.500 0.500 0.000
0.000 0.000 0.500
0.000 0.500 0.000
0.500 0.000 0.000
0.500 0.500 0.500
0.250 0.250 0.750
0.250 0.750 0.250
0.750 0.250 0.250
0.750 0.750 0.750
```

---

[11]
The following is a DFT calculation (PBE) of an optimized crystal structure of Li3Cr.

Output
Its energy above the most stable polymorph in this dataset is 28.5 meV/atom. As for the energy relative to the elements: 0.394 eV per atom.

```
Li3Cr
1.0
5.890 0.000 0.000
-2.945 5.101 0.000
0.000 0.000 4.872
Li Cr
6 2
direct
0.169 0.338 0.250
0.169 0.831 0.250
0.338 0.169 0.750
0.662 0.831 0.250
0.831 0.169 0.750
0.831 0.662 0.750
0.333 0.667 0.750
0.667 0.333 0.250
```

---

[12]
The following is a DFT calculation (PBE) of an optimized crystal structure of Cs2MnH5.

Output
Its energy above the most stable polymorph in this dataset is 0.0 meV/atom.

```
Cs2MnH5
1.0
6.358 0.000 0.000
0.000 6.358 0.000
0.000 0.000 8.880
Cs Mn H
4 2 10
direct
0.000 0.500 0.000
0.000 0.500 0.500
0.500 0.000 0.000
0.500 0.000 0.500
0.000 0.000 0.222
0.500 0.500 0.722
0.000 0.000 0.026
0.182 0.182 0.263
0.182 0.818 0.263
0.318 0.318 0.763
0.318 0.682 0.763
0.500 0.500 0.526
0.682 0.318 0.763
0.682 0.682 0.763
0.818 0.182 0.263
0.818 0.818 0.263
```